LiScNiBi after structural relaxation, computed with PBE.

Cell and atoms, written as POSCAR:
```
LiScNiBi
1.0
-3.497 -2.460 1.690
-2.517 1.664 3.469
-4.332 1.350 -0.744
Ni Bi Sc Li
1 1 1 1
direct
0.000 0.000 0.000 Ni
0.250 0.250 0.250 Bi
0.750 0.750 0.750 Sc
0.500 0.500 0.500 Li
```

distance to the lowest polymorph of the same formula: 0.0000 eV/atom
VASP energy: -4.789 eV per atom
space group: F-43m

=====

LiTcNiBi after structural relaxation, computed with PBE.

Cell and atoms, written as POSCAR:
```
LiTcNiBi
1.0
-4.383 -0.262 -0.656
-2.655 3.263 1.418
-1.971 2.690 -2.930
Li Ni Tc Bi
1 1 1 1
direct
0.500 0.500 0.500 Li
0.750 0.750 0.750 Ni
0.250 0.250 0.250 Tc
0.000 0.000 0.000 Bi
```

distance to the lowest polymorph of the same formula: 0.0000 eV/atom
VASP energy: -5.188 eV per atom
space group: F-43m

=====

LiTcNiBi after structural relaxation, computed with PBE.

Cell and atoms, written as POSCAR:
```
LiTcNiBi
1.0
-0.832 -3.947 1.967
-1.009 -0.161 4.370
-4.171 -1.023 1.303
Li Ni Bi Tc
1 1 1 1
direct
0.250 0.250 0.250 Li
0.750 0.750 0.750 Ni
0.000 0.000 0.000 Bi
0.500 0.500 0.500 Tc
```

distance to the lowest polymorph of the same formula: 0.0934 eV/atom
VASP energy: -5.094 eV per atom
space group: F-43m

=====

Among the records above, which one has the lowest VASP energy? number 2